PBE Rb4P2Pt, optimized geometry; crystal system = trigonal; volume = 271.38 Å³/cell; formation energy = -0.348 eV per atom
1.0
-4.7573 0.6815 -3.3743
-4.1109 -4.1901 -0.1600
-7.2919 2.8201 5.7405
Rb P Pt
4 2 1
Cartesian
-9.7240 1.1685 3.7265
-4.5571 0.3037 1.3767
-11.6029 -0.9921 0.8295
-6.4360 -1.8570 -1.5203
-6.2113 1.8258 4.0163
-9.9487 -2.5143 -1.8101
0.0000 0.0000 0.0000

***

PBE CsKSr2Cd, optimized geometry; crystal system = tetragonal; distance to the lowest polymorph of the same formula = 23 meV per atom; volume = 321.79 Å³/cell; formation energy = 0.054 eV per atom
1.0
6.6024 0.0000 0.0000
0.0000 6.6024 0.0000
0.0000 0.0000 7.3817
Cs Sr K Cd
1 2 1 1
Cartesian
0.0000 0.0000 3.6909
0.0000 3.3012 0.0000
3.3012 0.0000 0.0000
3.3012 3.3012 3.6909
0.0000 0.0000 0.0000

***

PBE AcCd2InPt2, optimized geometry; crystal system = orthorhombic; volume = 295.50 Å³/cell; formation energy = -0.481 eV per atom
1.0
-2.7464 0.7482 4.1480
1.3278 -7.3625 2.2071
6.1778 2.2203 3.6899
Ac Cd In Pt
2 4 2 4
Cartesian
-0.7093 -3.3071 3.1776
3.0889 1.1101 1.8449
0.2322 -0.1096 3.2242
2.5066 -4.0797 2.3955
4.5269 -4.2844 6.8208
4.9989 -1.0625 3.5015
0.0000 0.0000 0.0000
2.3796 -2.1970 5.0225
1.6420 -4.7524 4.9951
3.1171 0.3584 5.0499
5.9922 -3.3957 4.5800
1.5133 -1.7465 1.3170

***

PBE PmNdCo, optimized geometry; crystal system = tetragonal; distance to the lowest polymorph of the same formula = 85 meV per atom; volume = 79.18 Å³/cell; formation energy = 0.016 eV per atom
1.0
3.4672 0.0000 0.0000
0.0000 3.4672 0.0000
-1.7336 -1.7336 6.5868
Nd Co Pm
1 1 1
Cartesian
0.0000 0.0000 0.5287
1.7336 1.7336 2.2103
0.0000 0.0000 3.8478

***

PBE MgAlIn, optimized geometry; crystal system = orthorhombic; volume = 64.68 Å³/cell; formation energy = 0.027 eV per atom
1.0
-0.8399 -3.1295 5.8910
2.2999 -3.3706 5.3463
0.5599 2.2881 2.1597
Al In Mg
1 1 1
Cartesian
0.5635 2.2531 2.1958
0.8646 -0.6865 5.2323
1.1517 -3.4903 8.1285

***

PBE K2AlMo, optimized geometry; crystal system = monoclinic; volume = 94.86 Å³/cell; formation energy = 1.081 eV per atom
1.0
-3.7957 1.1784 -3.4309
2.0847 -6.4546 -0.6176
-2.0534 -1.4252 1.5589
Mo K Al
1 2 1
Cartesian
0.0157 -3.9399 0.4706
0.0000 0.0000 0.0000
-2.9245 -0.1234 -0.9360
-0.8555 -2.6381 -2.0242

***

Number 1: raw total energy -23.17 eV/f.u.. Number 2: raw total energy -5.96 eV/f.u.. Number 3: raw total energy -23.64 eV/f.u.. Number 4: raw total energy -16.58 eV/f.u.. Number 5: raw total energy -8.00 eV/f.u.. Number 6: raw total energy -12.45 eV/f.u..